# YCrB, relaxed, DFT PBE-GGA
data_YCrB
_chemical_formula_sum 'Y2 Cr2 B2'
_cell_length_a 3.4299
_cell_length_b 3.4299
_cell_length_c 8.2302
_cell_angle_alpha 90.00
_cell_angle_beta 90.00
_cell_angle_gamma 90.00
_space_group_name_H-M_alt 'P 4/n m m'
_space_group_IT_number 129
loop_
_space_group_symop_operation_xyz
'x,y,z'
'-x,-y,-z'
'-y+1/2,x,z'
'y+1/2,-x,-z'
'-x+1/2,-y+1/2,z'
'x+1/2,y+1/2,-z'
'y,-x+1/2,z'
'-y,x+1/2,-z'
'x+1/2,-y,-z'
'-x+1/2,y,z'
'-y,-x,-z'
'y,x,z'
'-x,y+1/2,-z'
'x,-y+1/2,z'
'y+1/2,x+1/2,-z'
'-y+1/2,-x+1/2,z'
loop_
_atom_site_label
_atom_site_fract_x
_atom_site_fract_y
_atom_site_fract_z
Y1 0.2500 0.2500 0.1870
Cr1 0.2500 0.7500 0.5000
B1 0.2500 0.2500 0.6638
# theoretical density	5.2	Mg/m³
# DOS at the Fermi energy	0.784	states/eV per atom
# energy of formation from the pure elements	-0.25	eV per atom